No. 1
First-principles (PBE) data for a geometry-optimized YOs2W structure, as listed in OQMD.

Output
SG: F-43m, No. 216
Total magnetic moment, μB/atom: 0.01
Energy of formation from the pure elements, eV/f.u.: 2.0

Cell and atoms, written as POSCAR:
```
YOs2W
1.0
0.000 3.234 3.234
3.234 0.000 3.234
3.234 3.234 0.000
Y Os W
1 2 1
direct
0.000 0.000 0.000
0.250 0.250 0.250
0.500 0.500 0.500
0.750 0.750 0.750
```

=====

No. 2
First-principles (PBE) data for a geometry-optimized Zr3Cu structure, as listed in OQMD.

Output
SG: P6_3/mmc, No. 194
Total magnetic moment, μB/atom: 0.00
Energy of formation from the pure elements, eV/f.u.: 0.3

Cell and atoms, written as POSCAR:
```
Zr3Cu
1.0
6.136 0.000 0.000
-3.068 5.314 0.000
0.000 0.000 4.917
Zr Cu
6 2
direct
0.173 0.346 0.250
0.173 0.827 0.250
0.346 0.173 0.750
0.654 0.827 0.250
0.827 0.173 0.750
0.827 0.654 0.750
0.333 0.667 0.750
0.667 0.333 0.250
```

=====

No. 3
First-principles (PBE) data for a geometry-optimized PrUBi structure, as listed in OQMD.

Output
SG: F-43m, No. 216
Total DFT energy (no corrections), eV per formula unit: -18.07
Total magnetic moment, μB/atom: 1.83

Cell and atoms, written as POSCAR:
```
PrUBi
1.0
0.000 3.776 3.776
3.776 0.000 3.776
3.776 3.776 0.000
Pr U Bi
1 1 1
direct
0.000 0.000 0.000
0.750 0.750 0.750
0.500 0.500 0.500
```

=====

No. 4
First-principles (PBE) data for a geometry-optimized BaBeCo structure, as listed in OQMD.

Output
SG: F-43m, No. 216
Relative energy among the computed polymorphs, kJ/mol of atoms: 64.1
Total magnetic moment, μB/atom: 0.40

Cell and atoms, written as POSCAR:
```
BaBeCo
1.0
0.000 3.536 3.536
3.536 0.000 3.536
3.536 3.536 0.000
Ba Be Co
1 1 1
direct
0.000 0.000 0.000
0.750 0.750 0.750
0.250 0.250 0.250
```

=====

No. 5
First-principles (PBE) data for a geometry-optimized CsTbHgTe3 structure, as listed in OQMD.

Output
SG: C2/m, No. 12
Total DFT energy (no corrections), eV per formula unit: -20.42
Total magnetic moment, μB/atom: 0.01

Cell and atoms, written as POSCAR:
```
CsTbHgTe3
1.0
10.208 -2.264 0.000
10.208 2.264 0.000
-1.805 0.000 9.944
Cs Tb Hg Te
2 2 2 6
direct
0.148 0.148 0.063
0.852 0.852 0.937
0.172 0.172 0.567
0.828 0.828 0.433
0.478 0.478 0.281
0.522 0.522 0.719
0.000 0.000 0.500
0.325 0.325 0.636
0.333 0.333 0.228
0.500 0.500 0.000
0.667 0.667 0.772
0.675 0.675 0.364
```

=====

No. 6
First-principles (PBE) data for a geometry-optimized DyAl3Ni2 structure, as listed in OQMD.

Output
SG: P6/mmm, No. 191
Total DFT energy (no corrections), eV per formula unit: -30.83
Total magnetic moment, μB/atom: 0.00

Cell and atoms, written as POSCAR:
```
DyAl3Ni2
1.0
5.249 0.000 0.000
-2.624 4.546 0.000
0.000 0.000 3.994
Dy Al Ni
1 3 2
direct
0.000 0.000 0.000
0.000 0.500 0.500
0.500 0.000 0.500
0.500 0.500 0.500
0.333 0.667 0.000
0.667 0.333 0.000
```

=====

No. 7
First-principles (PBE) data for a geometry-optimized ScCoHgPb structure, as listed in OQMD.

Output
SG: F-43m, No. 216
Relative energy among the computed polymorphs, kJ/mol of atoms: 9.1
Total magnetic moment, μB/atom: 0.21

Cell and atoms, written as POSCAR:
```
ScCoHgPb
1.0
0.000 3.427 3.427
3.427 0.000 3.427
3.427 3.427 0.000
Sc Co Hg Pb
1 1 1 1
direct
0.000 0.000 0.000
0.750 0.750 0.750
0.250 0.250 0.250
0.500 0.500 0.500
```

=====

No. 8
First-principles (PBE) data for a geometry-optimized AlPdPt structure, as listed in OQMD.

Output
SG: Pnma, No. 62
Relative energy among the computed polymorphs, kJ/mol of atoms: 0.0
Total magnetic moment, μB/atom: 0.00

Cell and atoms, written as POSCAR:
```
AlPdPt
1.0
5.797 0.000 0.000
0.000 4.002 0.000
0.000 0.000 7.600
Al Pd Pt
4 4 4
direct
0.222 0.250 0.125
0.278 0.750 0.625
0.722 0.250 0.375
0.778 0.750 0.875
0.164 0.250 0.446
0.336 0.750 0.946
0.664 0.250 0.054
0.836 0.750 0.554
0.047 0.250 0.802
0.453 0.750 0.302
0.547 0.250 0.698
0.953 0.750 0.198
```